An optimized crystal structure of KTl3Cr2O8. Source: Alexandria, functional PBE+U.

Output
The value obtained for the density of states at the Fermi level is 0.0 states/eV/f.u. The calculation puts the raw total energy at -80.7 eV per cell. Its symmetry is P-3m1 (164).

a = 6.1231 Å, b = 6.1231 Å, c = 8.2119 Å
α = 90.00°, β = 90.00°, γ = 120.00°
With the nearest neighbours (Å) after each atom.
Positions (direct):
O (0.3692, 0.1846, 0.7323)  1 Cr 1.67
O (0.1846, 0.8154, 0.2677)  1 Cr 1.67
O (0.3333, 0.6667, 0.9971)  1 Cr 1.66
O (0.8154, 0.6308, 0.7323)  1 Cr 1.67
O (0.6308, 0.8154, 0.2677)  1 Cr 1.67
O (0.6667, 0.3333, 0.0029)  1 Cr 1.66
O (0.8154, 0.1846, 0.7323)  1 Cr 1.67
O (0.1846, 0.3692, 0.2677)  1 Cr 1.67
Cr (0.3333, 0.6667, 0.1993)  4 O 1.66-1.67
Cr (0.6667, 0.3333, 0.8007)  4 O 1.66-1.67
K (0.0000, 0.0000, 0.5000)  6 O 2.73
Tl (0.3333, 0.6667, 0.6965)  1 O 2.47
Tl (0.6667, 0.3333, 0.3035)  1 O 2.47
Tl (0.0000, 0.0000, 0.0000)  6 O 2.94